Record 1
Entry from the Alexandria database: a geometry-optimized ReAgW2 structure (PBE-GGA).

Lattice parameters (Å, degrees): 2.7305 2.7305 9.2167 90.00 90.00 108.81
Element x y z (fractional)
Re: 0.5000 0.5000 0.7500
Ag: 0.5000 0.5000 0.2500
W: 0.0000 0.0000 0.9869
W: 0.0000 0.0000 0.5131

Computed properties:
Fermi-level density of states = 3.20 states/eV/cell
final energy = -39.6 eV/f.u.
size of the total moment = 0.00 μB per atom
formation energy = 0.399 eV/atom


Record 2
Entry from the Alexandria database: a geometry-optimized ReAgW2 structure (PBE-GGA).

Lattice parameters (Å, degrees): 2.7294 2.7294 9.2751 90.00 90.00 109.28
Element x y z (fractional)
Re: 0.5000 0.5000 0.7640
Ag: 0.0000 0.0000 0.5006
W: 0.0000 0.0000 0.9975
W: 0.5000 0.5000 0.2380

Computed properties:
Fermi-level density of states = 2.50 states/eV/cell
final energy = -39.8 eV/f.u.
size of the total moment = 0.00 μB per atom
formation energy = 0.353 eV/atom


Record 3
Entry from the Alexandria database: a geometry-optimized ReAgW2 structure (PBE-GGA).

Lattice parameters (Å, degrees): 4.5049 4.5049 4.5049 60.00 60.00 60.00
Element x y z (fractional)
Re: 0.7500 0.7500 0.7500
Ag: 0.5000 0.5000 0.5000
W: 0.0000 0.0000 0.0000
W: 0.2500 0.2500 0.2500

Computed properties:
Fermi-level density of states = 5.18 states/eV/cell
final energy = -38.6 eV/f.u.
size of the total moment = 0.00 μB per atom
formation energy = 0.662 eV/atom


Record 4
Entry from the Alexandria database: a geometry-optimized ReAgW2 structure (PBE-GGA).

Lattice parameters (Å, degrees): 5.2319 5.2319 5.2319 143.38 129.90 63.63
Element x y z (fractional)
Re: 0.2500 0.7500 0.5000
Ag: 0.7500 0.2500 0.5000
W: 0.0163 0.0163 0.0000
W: 0.4837 0.4837 0.0000

Computed properties:
Fermi-level density of states = 1.98 states/eV/cell
final energy = -39.0 eV/f.u.
size of the total moment = 0.00 μB per atom
formation energy = 0.545 eV/atom